(1)
## LiLa2InRh (PBE)

Data for an optimized crystal structure of LiLa2InRh.

## Properties
ΔH_f (0 K) = -345 meV per atom
spin magnetization = 0.0 μB per cell
uncorrected energy = -4.72 eV per atom
offset from the most stable computed form = 16 meV/atom

a b c (Å): 5.494 5.494 5.272
angles (deg): 90.00 90.00 90.00
Atoms (fractional coordinates):
Li: 0.000 0.000 0.000
La: 0.000 0.500 0.500
La: 0.500 0.000 0.500
In: 0.500 0.500 0.000
Rh: 0.500 0.500 0.500

(2)
## YFeIN2 (PBE)

Data for an optimized crystal structure of YFeIN2.

## Properties
raw formation energy = 1077 meV/atom
spin magnetization = 6.2 μB per cell
uncorrected energy = -5.55 eV per atom
offset from the most stable computed form = 476 meV/atom

a b c (Å): 4.393 4.393 6.266
angles (deg): 90.00 90.00 90.00
Atoms (fractional coordinates):
Y: 0.000 0.000 0.000
Fe: 0.500 0.500 0.500
I: 0.000 0.000 0.500
N: 0.000 0.500 0.000
N: 0.500 0.000 0.000

(3)
## HgIr3 (PBE)

Data for an optimized crystal structure of HgIr3.

## Properties
ΔH_f (0 K) = 422 meV per atom
spin magnetization = 0.0 μB per cell
uncorrected energy = -6.30 eV per atom

a b c (Å): 4.954 9.238 5.606
angles (deg): 90.00 90.00 90.00
Atoms (fractional coordinates):
Hg: 0.058 0.250 0.135
Hg: 0.442 0.750 0.635
Hg: 0.558 0.250 0.365
Hg: 0.942 0.750 0.865
Ir: 0.085 0.250 0.646
Ir: 0.226 0.510 0.373
Ir: 0.226 0.990 0.373
Ir: 0.274 0.010 0.873
Ir: 0.274 0.490 0.873
Ir: 0.415 0.750 0.146
Ir: 0.585 0.250 0.854
Ir: 0.726 0.510 0.127
Ir: 0.726 0.990 0.127
Ir: 0.774 0.010 0.627
Ir: 0.774 0.490 0.627
Ir: 0.915 0.750 0.354

(4)
## HgSe2S2 (PBE)

Data for an optimized crystal structure of HgSe2S2.

## Properties
raw formation energy = 49 meV/atom
spin magnetization = 0.0 μB per cell
uncorrected energy = -3.06 eV per atom
offset from the most stable computed form = 0 meV/atom

a b c (Å): 4.583 8.006 9.495
angles (deg): 66.76 88.73 79.91
Atoms (fractional coordinates):
Hg: 0.242 0.488 0.146
Hg: 0.758 0.512 0.854
Se: 0.207 0.690 0.819
Se: 0.274 0.935 0.304
Se: 0.726 0.065 0.696
Se: 0.793 0.310 0.181
S: 0.030 0.196 0.788
S: 0.320 0.289 0.617
S: 0.680 0.711 0.383
S: 0.970 0.804 0.212